1.
Computed, not measured: crystalline PuF3 at its relaxed geometry at the PBE level of DFT.

Cell: 4.1393 4.1393 7.2088 Å, 90.00 90.00 120.00°
Space group P6_3/mmc (No. 194)
One atom of each set of equivalent atoms:
Pu  0.3333  0.6667  0.2500 (multiplicity 2)
F  0.0000  0.0000  0.2500 (multiplicity 2)
F  0.3333  0.6667  0.5774 (multiplicity 4)

Results
Crystal system: hexagonal
Energy relative to the elements, uncorrected (eV per atom): -3.603


2.
Computed, not measured: crystalline La13Pm3 at its relaxed geometry at the PBE level of DFT.

Cell: 10.551 10.452 10.463 Å, 90.00 90.00 90.00°
Space group Amm2 (No. 38)
One atom of each set of equivalent atoms:
La  0.000  0.000  0.000 (multiplicity 2)
La  0.000  0.000  0.499 (multiplicity 2)
La  0.000  0.249  0.250 (multiplicity 4)
La  0.249  0.000  0.750 (multiplicity 4)
La  0.251  0.250  0.000 (multiplicity 8)
La  0.500  0.000  0.500 (multiplicity 2)
La  0.500  0.250  0.249 (multiplicity 4)
Pm  0.252  0.000  0.249 (multiplicity 4)
Pm  0.500  0.000  0.000 (multiplicity 2)

Results
Crystal system: orthorhombic
Energy relative to the elements (eV/atom): 0.008


Number 1: VASP energy -68.71 eV for the cell shown, DOS at the Fermi energy 19.8 states/eV per cell, calculated volume 13.37 Å³ per atom. Number 2: VASP energy -156.35 eV for the cell shown, DOS at the Fermi energy 58.2 states/eV per cell, calculated volume 36.06 Å³ per atom.